1.
# GGA-PBE BeFeOs3, relaxed
# Size of the total moment, μB per cell: 0.00
# Total energy, eV per atom: -7.19
data_BeFeOs3
_cell_length_a 4.377
_cell_length_b 4.377
_cell_length_c 4.377
_cell_angle_alpha 90.00
_cell_angle_beta 90.00
_cell_angle_gamma 90.00
_symmetry_space_group_name_H-M 'P m -3 m'
_symmetry_Int_Tables_number 221
_symmetry_space_group_name_Hall '-P 4 2 3'
loop_
_atom_site_label
_atom_site_type_symbol
_atom_site_fract_x
_atom_site_fract_y
_atom_site_fract_z
_atom_site_occupancy
Be1 Be 0.000 0.000 0.000 1
Fe1 Fe 0.500 0.500 0.500 1
Os1 Os 0.000 0.500 0.500 1

2.
# GGA-PBE BeFeOs2, relaxed
# Size of the total moment, μB per cell: 9.09
# Total energy, eV per atom: -8.44
data_BeFeOs2
_cell_length_a 5.872
_cell_length_b 5.872
_cell_length_c 5.872
_cell_angle_alpha 90.00
_cell_angle_beta 90.00
_cell_angle_gamma 90.00
_symmetry_space_group_name_H-M 'F -4 3 m'
_symmetry_Int_Tables_number 216
_symmetry_space_group_name_Hall 'F -4 2 3'
loop_
_atom_site_label
_atom_site_type_symbol
_atom_site_fract_x
_atom_site_fract_y
_atom_site_fract_z
_atom_site_occupancy
Be1 Be 0.000 0.000 0.000 1
Fe1 Fe 0.250 0.250 0.250 1
Os1 Os 0.000 0.000 0.500 1
Os2 Os 0.250 0.250 0.750 1